Ac3Ge2Pt2: relaxed, GGA-PBE.

spin magnetization = 0.00 μB/f.u.
crystal system = monoclinic
raw total energy = -5.75 eV per atom

Unit cell a=4.5339 b=6.2182 c=7.9296 alpha=108.59 beta=90.00 gamma=111.38
Fractional coordinates of all 7 atoms:
Ac 0.3134 0.6268 0.3389
Ac 0.6866 0.3732 0.6611
Ac 0.5000 0.0000 0.0000
Ge 0.9663 0.9326 0.6432
Ge 0.0337 0.0674 0.3568
Pt 0.8263 0.6526 0.0853
Pt 0.1737 0.3474 0.9147